No. 1
! Pm2SmHg3, optimized geometry, DFT GGA-PBE; values from VASP
! Energy relative to the elements (eV/atom): -0.47
! Fermi-level density of states (states/eV/cell): 14.58
&SYSTEM
  ibrav = 0, nat = 12, ntyp = 3
/
ATOMIC_SPECIES
Pm 145.00 Pm.upf
Sm 150.36 Sm.upf
Hg 200.59 Hg.upf
CELL_PARAMETERS angstrom
2.6843 -8.0518 0.0000
2.6843 8.0518 0.0000
0.0000 0.0000 7.6570
ATOMIC_POSITIONS crystal
Pm 0.0000 0.0000 0.0000
Pm 0.0000 0.0000 0.5000
Pm 0.3336 0.6664 0.0000
Pm 0.6664 0.3336 0.0000
Sm 0.3333 0.6667 0.5000
Sm 0.6667 0.3333 0.5000
Hg 0.1673 0.8327 0.2520
Hg 0.1673 0.8327 0.7480
Hg 0.5000 0.5000 0.2511
Hg 0.5000 0.5000 0.7489
Hg 0.8327 0.1673 0.2520
Hg 0.8327 0.1673 0.7480

No. 2
! Mn2AsBr, optimized geometry, DFT GGA-PBE; values from VASP
! Uncorrected formation energy (meV per atom): 293
! Fermi-level density of states (states/eV/cell): 3.72
&SYSTEM
  ibrav = 0, nat = 4, ntyp = 3
/
ATOMIC_SPECIES
Mn 54.94 Mn.upf
As 74.92 As.upf
Br 79.90 Br.upf
CELL_PARAMETERS angstrom
4.8928 0.0000 0.0000
0.0000 4.8928 0.0000
0.0000 0.0000 3.1042
ATOMIC_POSITIONS crystal
Mn 0.0000 0.5000 0.0000
Mn 0.5000 0.0000 0.0000
As 0.0000 0.0000 0.5000
Br 0.5000 0.5000 0.5000

No. 3
! Na5TlGa, optimized geometry, DFT GGA-PBE; values from VASP
! Energy relative to the elements (eV/atom): -0.03
! Fermi-level density of states (states/eV/cell): 5.63
&SYSTEM
  ibrav = 0, nat = 14, ntyp = 3
/
ATOMIC_SPECIES
Na 22.99 Na.upf
Tl 204.38 Tl.upf
Ga 69.72 Ga.upf
CELL_PARAMETERS angstrom
5.8921 -6.0149 0.0000
5.8921 6.0149 0.0000
-1.7630 0.0000 5.8032
ATOMIC_POSITIONS crystal
Na 0.1702 0.5436 0.1758
Na 0.1789 0.3226 0.5981
Na 0.2282 0.7718 0.7500
Na 0.3226 0.1789 0.0981
Na 0.4564 0.8298 0.3242
Na 0.5436 0.1702 0.6758
Na 0.6774 0.8211 0.9019
Na 0.7718 0.2282 0.2500
Na 0.8211 0.6774 0.4019
Na 0.8298 0.4564 0.8242
Tl 0.0673 0.9327 0.2500
Tl 0.9327 0.0673 0.7500
Ga 0.5000 0.5000 0.0000
Ga 0.5000 0.5000 0.5000

No. 4
! Cs2KCdH5, optimized geometry, DFT GGA-PBE; values from VASP
! Raw total energy (eV/atom): -2.2695
&SYSTEM
  ibrav = 0, nat = 18, ntyp = 4
/
ATOMIC_SPECIES
Cs 132.91 Cs.upf
K 39.10 K.upf
Cd 112.41 Cd.upf
H 1.01 H.upf
CELL_PARAMETERS angstrom
7.8962 0.0000 0.0000
0.0000 7.8962 0.0000
0.0000 0.0000 6.8836
ATOMIC_POSITIONS crystal
Cs 0.1701 0.3299 0.0000
Cs 0.3299 0.8299 0.0000
Cs 0.6701 0.1701 0.0000
Cs 0.8299 0.6701 0.0000
K 0.0000 0.0000 0.5000
K 0.5000 0.5000 0.5000
Cd 0.0000 0.5000 0.5000
Cd 0.5000 0.0000 0.5000
H 0.0000 0.0000 0.0000
H 0.1249 0.6249 0.3006
H 0.1249 0.6249 0.6994
H 0.3751 0.1249 0.3006
H 0.3751 0.1249 0.6994
H 0.5000 0.5000 0.0000
H 0.6249 0.8751 0.3006
H 0.6249 0.8751 0.6994
H 0.8751 0.3751 0.3006
H 0.8751 0.3751 0.6994

No. 5
! Mo2PAu, optimized geometry, DFT GGA-PBE; values from VASP
! Energy relative to the elements (eV/atom): 0.10
! Fermi-level density of states (states/eV/cell): 5.44
&SYSTEM
  ibrav = 0, nat = 8, ntyp = 3
/
ATOMIC_SPECIES
Mo 95.94 Mo.upf
P 30.97 P.upf
Au 196.97 Au.upf
CELL_PARAMETERS angstrom
3.0495 0.0000 0.0000
0.0000 4.4407 0.0000
0.0000 0.0000 9.0666
ATOMIC_POSITIONS crystal
Mo 0.0000 0.0000 0.0000
Mo 0.0000 0.5000 0.2142
Mo 0.5000 0.0000 0.7142
Mo 0.5000 0.5000 0.5000
P 0.0000 0.0000 0.5093
P 0.5000 0.5000 0.0093
Au 0.0000 0.5000 0.7759
Au 0.5000 0.0000 0.2759

No. 6
! ZnHRuRh2, optimized geometry, DFT GGA-PBE; values from VASP
! Fermi-level density of states (states/eV/cell): 6.99
! Raw total energy (eV/atom): -5.7126
&SYSTEM
  ibrav = 0, nat = 5, ntyp = 4
/
ATOMIC_SPECIES
Zn 65.41 Zn.upf
H 1.01 H.upf
Ru 101.07 Ru.upf
Rh 102.91 Rh.upf
CELL_PARAMETERS angstrom
3.9069 0.0000 0.0000
0.0000 3.9069 0.0000
0.0000 0.0000 3.8742
ATOMIC_POSITIONS crystal
Zn 0.0000 0.0000 0.0000
H 0.5000 0.5000 0.5000
Ru 0.5000 0.5000 0.0000
Rh 0.0000 0.5000 0.5000
Rh 0.5000 0.0000 0.5000

No. 7
! La2AlBr, optimized geometry, DFT GGA-PBE; values from VASP
! Uncorrected formation energy (meV per atom): -396
! Fermi-level density of states (states/eV/cell): 5.94
&SYSTEM
  ibrav = 0, nat = 4, ntyp = 3
/
ATOMIC_SPECIES
La 138.91 La.upf
Al 26.98 Al.upf
Br 79.90 Br.upf
CELL_PARAMETERS angstrom
3.6913 0.0000 0.0000
0.0000 3.6913 0.0000
0.0000 0.0000 10.5405
ATOMIC_POSITIONS crystal
La 0.0000 0.0000 0.0000
La 0.5000 0.5000 0.3094
Al 0.0000 0.0000 0.4743
Br 0.5000 0.5000 0.8349

No. 8
! AlFe4Sb, optimized geometry, DFT GGA-PBE; values from VASP
! Uncorrected formation energy (meV per atom): 66
! Fermi-level density of states (states/eV/cell): 3.70
&SYSTEM
  ibrav = 0, nat = 6, ntyp = 3
/
ATOMIC_SPECIES
Al 26.98 Al.upf
Fe 55.84 Fe.upf
Sb 121.76 Sb.upf
CELL_PARAMETERS angstrom
0.0000 3.4412 3.4412
3.4412 0.0000 3.4412
3.4412 3.4412 0.0000
ATOMIC_POSITIONS crystal
Al 0.0000 0.0000 0.0000
Fe 0.1230 0.6257 0.6257
Fe 0.6257 0.1230 0.6257
Fe 0.6257 0.6257 0.1230
Fe 0.6257 0.6257 0.6257
Sb 0.2500 0.2500 0.2500

Repeat the fifth record exactly.
! Mo2PAu, optimized geometry, DFT GGA-PBE; values from VASP
! Energy relative to the elements (eV/atom): 0.10
! Fermi-level density of states (states/eV/cell): 5.44
&SYSTEM
  ibrav = 0, nat = 8, ntyp = 3
/
ATOMIC_SPECIES
Mo 95.94 Mo.upf
P 30.97 P.upf
Au 196.97 Au.upf
CELL_PARAMETERS angstrom
3.0495 0.0000 0.0000
0.0000 4.4407 0.0000
0.0000 0.0000 9.0666
ATOMIC_POSITIONS crystal
Mo 0.0000 0.0000 0.0000
Mo 0.0000 0.5000 0.2142
Mo 0.5000 0.0000 0.7142
Mo 0.5000 0.5000 0.5000
P 0.0000 0.0000 0.5093
P 0.5000 0.5000 0.0093
Au 0.0000 0.5000 0.7759
Au 0.5000 0.0000 0.2759